# LiTmTiPt

An optimized crystal structure of LiTmTiPt (PBE-GGA, Alexandria via LeMat-Bulk).

Lattice parameters (Å, degrees): 6.6280 6.6280 6.6280 90.00 90.00 90.00
Space group F-43m (No. 216)
Asymmetric unit:
Li  0.0000  0.0000  0.0000 x4
Tm  0.2500  0.2500  0.7500 x4
Ti  0.2500  0.2500  0.2500 x4
Pt  0.0000  0.0000  0.5000 x4

- DFT formation energy (meV per atom) = -479



# SrTc2Pd

An optimized crystal structure of SrTc2Pd (PBE-GGA, Alexandria via LeMat-Bulk).

Lattice parameters (Å, degrees): 6.6297 6.6297 6.6297 90.00 90.00 90.00
Space group Fm-3m (No. 225)
Asymmetric unit:
Sr  0.0000  0.0000  0.0000 x4
Tc  0.2500  0.2500  0.2500 x8
Pd  0.0000  0.0000  0.5000 x4

- offset from the most stable computed form (meV/atom) = 353
- DFT formation energy (meV per atom) = 1072



# Li3ReAs

An optimized crystal structure of Li3ReAs (PBE-GGA, Alexandria via LeMat-Bulk).

Lattice parameters (Å, degrees): 4.8137 4.8137 4.8137 90.00 90.00 90.00
Space group Pm-3m (No. 221)
Asymmetric unit:
Li  0.0000  0.0000  0.5000 x3
Re  0.0000  0.0000  0.0000 x1
As  0.5000  0.5000  0.5000 x1

- offset from the most stable computed form (meV/atom) = 286
- DFT formation energy (meV per atom) = 1358



# RbUSb2

An optimized crystal structure of RbUSb2 (PBE-GGA, Alexandria via LeMat-Bulk).

Lattice parameters (Å, degrees): 4.5651 4.5651 25.6042 90.00 90.00 120.00
Space group R3m (No. 160, hexagonal axes)
Asymmetric unit:
Rb  0.0000  0.0000  0.0000 x3
U  0.0000  0.0000  0.8305 x3
Sb  0.0000  0.0000  0.2246 x3
Sb  0.0000  0.0000  0.4370 x3

- offset from the most stable computed form (meV/atom) = 42
- energy relative to the elements, uncorrected (eV per atom) = -0.188